DFT (PBE-GGA) results for crystalline CaTl2Pt at its relaxed geometry.

Formation enthalpy at 0 K = -0.31 eV per atom
Magnetic moment = 0.00 μB per formula unit
Density of states at the Fermi level = 1.5 states/eV per cell

a b c (Å): 3.667 3.667 7.541
angles (deg): 90.00 90.00 90.00
Fractional positions:
Ca (0.000, 0.000, 0.000)
Tl (0.000, 0.000, 0.414)
Tl (0.500, 0.500, 0.696)
Pt (0.500, 0.500, 0.201)



DFT (PBE-GGA) results for crystalline K5Cu at its relaxed geometry.

Formation enthalpy at 0 K = 0.40 eV per atom
Magnetic moment = 0.00 μB per formula unit
Density of states at the Fermi level = 3.6 states/eV per cell

a b c (Å): 8.068 8.068 8.068
angles (deg): 60.00 60.00 60.00
Fractional positions:
K (0.000, 0.000, 0.000)
K (0.128, 0.624, 0.624)
K (0.624, 0.128, 0.624)
K (0.624, 0.624, 0.128)
K (0.624, 0.624, 0.624)
Cu (0.250, 0.250, 0.250)



DFT (PBE-GGA) results for crystalline Li3SbRu at its relaxed geometry.

Magnetic moment = 0.00 μB per formula unit
Density of states at the Fermi level = 2.6 states/eV per cell
Raw formation energy = 0.6149 eV/atom

a b c (Å): 4.543 4.543 4.543
angles (deg): 90.00 90.00 90.00
Fractional positions:
Li (0.000, 0.000, 0.500)
Li (0.000, 0.500, 0.000)
Li (0.500, 0.000, 0.000)
Sb (0.500, 0.500, 0.500)
Ru (0.000, 0.000, 0.000)



DFT (PBE-GGA) results for crystalline Pm8Pt3RhI4 at its relaxed geometry.

Magnetic moment = 0.00 μB per formula unit
Density of states at the Fermi level = 10.1 states/eV per cell
Raw formation energy = -1.0834 eV/atom

a b c (Å): 9.418 9.418 9.418
angles (deg): 53.33 53.33 53.33
Fractional positions:
Pm (0.229, 0.229, 0.229)
Pm (0.234, 0.726, 0.726)
Pm (0.274, 0.274, 0.766)
Pm (0.274, 0.766, 0.274)
Pm (0.726, 0.234, 0.726)
Pm (0.726, 0.726, 0.234)
Pm (0.766, 0.274, 0.274)
Pm (0.771, 0.771, 0.771)
Pt (0.000, 0.000, 0.500)
Pt (0.000, 0.500, 0.000)
Pt (0.500, 0.000, 0.000)
Rh (0.500, 0.500, 0.500)
I (0.000, 0.000, 0.000)
I (0.000, 0.500, 0.500)
I (0.500, 0.000, 0.500)
I (0.500, 0.500, 0.000)



DFT (PBE-GGA) results for crystalline Y4TlH at its relaxed geometry.

Magnetic moment = 0.00 μB per formula unit
E_tot = -5.466 eV per atom
Density of states at the Fermi level = 10.6 states/eV per cell

a b c (Å): 9.032 9.032 5.845
angles (deg): 102.54 102.54 130.40
Fractional positions:
Y (0.055, 0.612, 0.832)
Y (0.143, 0.280, 0.620)
Y (0.280, 0.143, 0.120)
Y (0.388, 0.945, 0.668)
Y (0.612, 0.055, 0.332)
Y (0.720, 0.857, 0.880)
Y (0.857, 0.720, 0.380)
Y (0.945, 0.388, 0.168)
Tl (0.404, 0.596, 0.250)
Tl (0.596, 0.404, 0.750)
H (0.007, 0.993, 0.250)
H (0.993, 0.007, 0.750)



DFT (PBE-GGA) results for crystalline Sm4HoTl3 at its relaxed geometry.

Formation enthalpy at 0 K = -0.22 eV per atom
Magnetic moment = 0.00 μB per formula unit
Density of states at the Fermi level = 20.7 states/eV per cell

a b c (Å): 11.335 6.971 5.934
angles (deg): 90.00 90.00 90.00
Fractional positions:
Sm (0.000, 0.249, 0.000)
Sm (0.000, 0.751, 0.000)
Sm (0.250, 0.244, 0.384)
Sm (0.250, 0.756, 0.384)
Sm (0.500, 0.249, 0.000)
Sm (0.500, 0.751, 0.000)
Sm (0.750, 0.244, 0.616)
Sm (0.750, 0.756, 0.616)
Ho (0.000, 0.500, 0.500)
Ho (0.500, 0.500, 0.500)
Tl (0.000, 0.000, 0.500)
Tl (0.250, 0.000, 0.874)
Tl (0.250, 0.500, 0.867)
Tl (0.500, 0.000, 0.500)
Tl (0.750, 0.000, 0.126)
Tl (0.750, 0.500, 0.133)



DFT (PBE-GGA) results for crystalline DyPaOsPt at its relaxed geometry.

Formation enthalpy at 0 K = -0.55 eV per atom
Magnetic moment = 0.00 μB per formula unit
Density of states at the Fermi level = 5.0 states/eV per cell

a b c (Å): 4.905 4.905 4.905
angles (deg): 60.00 60.00 60.00
Fractional positions:
Dy (0.000, 0.000, 0.000)
Pa (0.500, 0.500, 0.500)
Os (0.250, 0.250, 0.250)
Pt (0.750, 0.750, 0.750)



DFT (PBE-GGA) results for crystalline Zn2PtAu at its relaxed geometry.

Formation enthalpy at 0 K = -0.12 eV per atom
Magnetic moment = 0.00 μB per formula unit
Density of states at the Fermi level = 2.7 states/eV per cell

a b c (Å): 9.120 9.120 9.120
angles (deg): 18.07 18.07 18.07
Fractional positions:
Zn (0.000, 0.000, 0.000)
Zn (0.250, 0.250, 0.250)
Pt (0.743, 0.743, 0.743)
Au (0.501, 0.501, 0.501)